Density functional theory data (PBE) for a relaxed structure of SrSiAu2.

Calculated values
* E_tot: -15.26 eV/f.u.

Cell: 4.279 4.309 5.431 Å, 90.00 90.00 90.00°
Space group Pmmm (No. 47)
One atom of each set of equivalent atoms:
Sr 0.000 0.000 0.000 [1 per cell]
Si 0.500 0.000 0.500 [1 per cell]
Au 0.500 0.500 0.250 [2 per cell]


Density functional theory data (PBE) for a relaxed structure of Sr2SiAu.

Calculated values
* E_tot: -13.44 eV/f.u.

Cell: 4.100 4.971 6.403 Å, 90.00 90.00 90.00°
Space group Pmmm (No. 47)
One atom of each set of equivalent atoms:
Sr 0.000 0.000 0.000 [1 per cell]
Sr 0.500 0.500 0.500 [1 per cell]
Si 0.000 0.000 0.500 [1 per cell]
Au 0.500 0.500 0.000 [1 per cell]


Density functional theory data (PBE) for a relaxed structure of Sr2SiAu.

Calculated values
* E_tot: -14.20 eV/f.u.

Cell: 4.3858 4.3858 24.5341 Å, 90.00 90.00 120.00°
Space group R3m (No. 160, hexagonal axes)
One atom of each set of equivalent atoms:
Sr 0.0000 0.0000 0.0000 [3 per cell]
Sr 0.0000 0.0000 0.1736 [3 per cell]
Si 0.0000 0.0000 0.4197 [3 per cell]
Au 0.0000 0.0000 0.7536 [3 per cell]


Density functional theory data (PBE) for a relaxed structure of Sr3Si3Au2.

Calculated values
* E_tot: -32.52 eV/f.u.

Cell: 4.407 11.572 16.043 Å, 90.00 90.00 90.00°
Space group Cmcm (No. 63)
One atom of each set of equivalent atoms:
Sr 0.000 0.061 0.250 [4 per cell]
Sr 0.000 0.351 0.098 [8 per cell]
Si 0.000 0.073 0.050 [8 per cell]
Si 0.000 0.231 0.750 [4 per cell]
Au 0.000 0.361 0.616 [8 per cell]


Density functional theory data (PBE) for a relaxed structure of SrSiAu3.

Calculated values
* E_tot: -19.16 eV/f.u.
* E above lowest polymorph: 0.106 eV/atom

Cell: 6.890 6.962 4.947 Å, 90.00 90.00 90.00°
Space group Pbam (No. 55)
One atom of each set of equivalent atoms:
Sr 0.000 0.000 0.000 [2 per cell]
Si 0.000 0.500 0.500 [2 per cell]
Au 0.000 0.500 0.000 [2 per cell]
Au 0.238 0.238 0.500 [4 per cell]


Density functional theory data (PBE) for a relaxed structure of SrSiAu2.

Calculated values
* E_tot: -15.59 eV/f.u.

Cell: 4.633 4.574 4.910 Å, 90.00 91.56 90.00°
Space group Pm (No. 6)
One atom of each set of equivalent atoms:
Sr 0.000 0.000 0.000 [1 per cell]
Si 0.547 0.500 0.311 [1 per cell]
Au 0.475 0.500 0.825 [1 per cell]
Au 0.508 0.000 0.484 [1 per cell]


Density functional theory data (PBE) for a relaxed structure of SrSi4Au12.

Calculated values
* E_tot: -63.86 eV/f.u.

Cell: 8.881 8.881 8.881 Å, 90.00 90.00 90.00°
Space group Im-3 (No. 204)
One atom of each set of equivalent atoms:
Sr 0.000 0.000 0.000 [2 per cell]
Si 0.250 0.250 0.250 [8 per cell]
Au 0.000 0.163 0.341 [24 per cell]


Density functional theory data (PBE) for a relaxed structure of SrSiAu3.

Calculated values
* E_tot: -19.69 eV/f.u.
* E above lowest polymorph: 0.000 eV/atom

Cell: 4.607 4.607 10.314 Å, 90.00 90.00 90.00°
Space group I4mm (No. 107)
One atom of each set of equivalent atoms:
Sr 0.000 0.000 0.000 [2 per cell]
Si 0.000 0.000 0.648 [2 per cell]
Au 0.000 0.000 0.414 [2 per cell]
Au 0.000 0.500 0.240 [4 per cell]


Density functional theory data (PBE) for a relaxed structure of Sr2SiAu.

Calculated values
* E_tot: -13.12 eV/f.u.

Cell: 4.549 4.549 10.729 Å, 90.00 90.00 90.00°
Space group I-4m2 (No. 119)
One atom of each set of equivalent atoms:
Sr 0.000 0.000 0.000 [2 per cell]
Sr 0.000 0.500 0.250 [2 per cell]
Si 0.000 0.000 0.500 [2 per cell]
Au 0.000 0.500 0.750 [2 per cell]


Density functional theory data (PBE) for a relaxed structure of Sr2SiAu3.

Calculated values
* E_tot: -22.65 eV/f.u.

Cell: 4.198 4.572 7.951 Å, 90.00 90.00 90.00°
Space group Pmm2 (No. 25)
One atom of each set of equivalent atoms:
Sr 0.000 0.000 0.000 [1 per cell]
Sr 0.000 0.500 0.489 [1 per cell]
Si 0.500 0.500 0.811 [1 per cell]
Au 0.500 0.000 0.333 [1 per cell]
Au 0.500 0.000 0.691 [1 per cell]
Au 0.500 0.500 0.126 [1 per cell]


Density functional theory data (PBE) for a relaxed structure of SrSiAu2.

Calculated values
* E_tot: -14.30 eV/f.u.

Cell: 6.601 6.608 4.063 Å, 90.00 90.00 90.00°
Space group Cmmm (No. 65)
One atom of each set of equivalent atoms:
Sr 0.000 0.000 0.000 [2 per cell]
Si 0.000 0.500 0.000 [2 per cell]
Au 0.250 0.250 0.500 [4 per cell]


Density functional theory data (PBE) for a relaxed structure of SrSiAu.

Calculated values
* E_tot: -11.87 eV/f.u.

Cell: 11.231 4.674 6.356 Å, 90.00 94.51 90.00°
Space group Cm (No. 8)
One atom of each set of equivalent atoms:
Sr 0.000 0.000 0.000 [2 per cell]
Sr 0.218 0.500 0.475 [2 per cell]
Si 0.283 0.000 0.150 [2 per cell]
Si 0.430 0.000 0.443 [2 per cell]
Au 0.009 0.000 0.485 [2 per cell]
Au 0.338 0.000 0.789 [2 per cell]


Number 1: formation energy without anion corrections -0.399 eV per atom, calculated density 8.45 g cm⁻³, magnetic moment 0.00 μB per cell. Number 2: formation energy without anion corrections -0.345 eV per atom, calculated density 5.09 g cm⁻³, magnetic moment 0.00 μB per cell. Number 3: formation energy without anion corrections -0.535 eV per atom, calculated density 4.88 g cm⁻³, magnetic moment 0.00 μB per cell. Number 4: formation energy without anion corrections -0.582 eV per atom, calculated density 6.02 g cm⁻³, magnetic moment 0.00 μB per cell. Number 5: formation energy without anion corrections -0.444 eV per atom, calculated density 9.89 g cm⁻³, magnetic moment 0.00 μB per cell. Number 6: formation energy without anion corrections -0.483 eV per atom, calculated density 8.14 g cm⁻³, magnetic moment 0.00 μB per cell. Number 7: formation energy without anion corrections -0.068 eV per atom, calculated density 12.15 g cm⁻³, magnetic moment 0.00 μB per cell. Number 8: formation energy without anion corrections -0.550 eV per atom, calculated density 10.72 g cm⁻³, magnetic moment 0.00 μB per cell. Number 9: formation energy without anion corrections -0.263 eV per atom, calculated density 5.99 g cm⁻³, magnetic moment 0.00 μB per cell. Number 10: formation energy without anion corrections -0.671 eV per atom, calculated density 8.64 g cm⁻³, magnetic moment 0.00 μB per cell. Number 11: formation energy without anion corrections -0.161 eV per atom, calculated density 9.55 g cm⁻³, magnetic moment 0.00 μB per cell. Number 12: formation energy without anion corrections -0.497 eV per atom, calculated density 6.24 g cm⁻³, magnetic moment 0.00 μB per cell.